(1)
# BH PBE relaxed
data_BH
_chemical_formula_sum 'B6 H6'
_space_group_name_H-M_alt 'P 63/m'
_space_group_IT_number 176
_space_group_name_Hall '-P 6c'
_cell_length_a 6.0971
_cell_length_b 6.0971
_cell_length_c 2.1428
_cell_angle_alpha 90.00
_cell_angle_beta 90.00
_cell_angle_gamma 120.00
loop_
_atom_site_label
_atom_site_fract_x
_atom_site_fract_y
_atom_site_fract_z
B1 0.1274 0.6159 0.2500
H1 0.1172 0.8075 0.2500
# Crystal system: hexagonal
# Raw total energy: -4.607 eV/atom
# Offset from the most stable computed form: 449.9 meV/atom


(2)
# BH2 PBE relaxed
data_BH2
_chemical_formula_sum 'B1 H2'
_space_group_name_H-M_alt 'P -1'
_space_group_IT_number 2
_cell_length_a 2.294
_cell_length_b 2.372
_cell_length_c 4.322
_cell_angle_alpha 105.03
_cell_angle_beta 91.10
_cell_angle_gamma 118.49
loop_
_space_group_symop_operation_xyz
'x,y,z'
'-x,-y,-z'
loop_
_atom_site_label
_atom_site_fract_x
_atom_site_fract_y
_atom_site_fract_z
B1 0.000 0.000 0.000
H1 0.099 0.182 0.286
# Crystal system: triclinic
# Raw total energy: -3.947 eV/atom
# Offset from the most stable computed form: 509.8 meV/atom


(3)
# B3H5 PBE relaxed
data_B3H5
_chemical_formula_sum 'B24 H40'
_space_group_name_H-M_alt 'C m c 21'
_space_group_IT_number 36
_cell_length_a 7.688
_cell_length_b 9.333
_cell_length_c 8.714
_cell_angle_alpha 90.00
_cell_angle_beta 90.00
_cell_angle_gamma 90.00
loop_
_space_group_symop_operation_xyz
'x,y,z'
'-x,-y,z+1/2'
'-x,y,z'
'x,-y,z+1/2'
'x+1/2,y+1/2,z'
'-x+1/2,-y+1/2,z+1/2'
'-x+1/2,y+1/2,z'
'x+1/2,-y+1/2,z+1/2'
loop_
_atom_site_label
_atom_site_fract_x
_atom_site_fract_y
_atom_site_fract_z
B1 0.000 0.205 0.000
B2 0.000 0.256 0.807
B3 0.107 0.427 0.798
B4 0.184 0.295 0.920
H1 0.000 0.087 0.053
H2 0.000 0.170 0.706
H3 0.124 0.278 0.068
H4 0.173 0.253 0.425
H5 0.176 0.438 0.938
H6 0.210 0.470 0.707
# Crystal system: orthorhombic
# Raw total energy: -4.658 eV/atom
# Offset from the most stable computed form: 26.4 meV/atom


(4)
# BH PBE relaxed
data_BH
_chemical_formula_sum 'B4 H4'
_space_group_name_H-M_alt 'P 1 m 1'
_space_group_IT_number 6
_cell_length_a 5.429
_cell_length_b 2.772
_cell_length_c 5.743
_cell_angle_alpha 90.00
_cell_angle_beta 111.12
_cell_angle_gamma 90.00
loop_
_space_group_symop_operation_xyz
'x,y,z'
'x,-y,z'
loop_
_atom_site_label
_atom_site_fract_x
_atom_site_fract_y
_atom_site_fract_z
B1 0.000 0.000 0.000
B2 0.005 0.500 0.216
B3 0.705 0.000 0.754
B4 0.782 0.500 0.943
H1 0.103 0.500 0.436
H2 0.173 0.000 0.915
H3 0.611 0.000 0.533
H4 0.735 0.500 0.154
# Crystal system: monoclinic
# Raw total energy: -4.896 eV/atom
# Offset from the most stable computed form: 161.0 meV/atom


(5)
# BH PBE relaxed
data_BH
_chemical_formula_sum 'B4 H4'
_space_group_name_H-M_alt 'P 42/m n m'
_space_group_IT_number 136
_space_group_name_Hall '-P 4n 2n'
_cell_length_a 5.828
_cell_length_b 5.828
_cell_length_c 1.852
_cell_angle_alpha 90.00
_cell_angle_beta 90.00
_cell_angle_gamma 90.00
loop_
_atom_site_label
_atom_site_fract_x
_atom_site_fract_y
_atom_site_fract_z
B1 0.095 0.095 0.000
H1 0.212 0.212 0.500
# Crystal system: tetragonal
# Raw total energy: -4.171 eV/atom
# Offset from the most stable computed form: 885.7 meV/atom


(6)
# BH2 PBE relaxed
data_BH2
_chemical_formula_sum 'B1 H2'
_space_group_name_H-M_alt 'P 1 m 1'
_space_group_IT_number 6
_cell_length_a 2.725
_cell_length_b 1.809
_cell_length_c 3.829
_cell_angle_alpha 90.00
_cell_angle_beta 109.84
_cell_angle_gamma 90.00
loop_
_space_group_symop_operation_xyz
'x,y,z'
'x,-y,z'
loop_
_atom_site_label
_atom_site_fract_x
_atom_site_fract_y
_atom_site_fract_z
B1 0.000 0.000 0.000
H1 0.549 0.000 0.103
H2 0.864 0.500 0.714
# Crystal system: monoclinic
# Raw total energy: -3.945 eV/atom
# Offset from the most stable computed form: 511.4 meV/atom


(7)
# B2H5 PBE relaxed
data_B2H5
_chemical_formula_sum 'B16 H40'
_space_group_name_H-M_alt 'P 1 21/c 1'
_space_group_IT_number 14
_cell_length_a 5.827
_cell_length_b 10.129
_cell_length_c 9.086
_cell_angle_alpha 90.00
_cell_angle_beta 111.96
_cell_angle_gamma 90.00
loop_
_space_group_symop_operation_xyz
'x,y,z'
'-x,-y,-z'
'-x,y+1/2,-z+1/2'
'x,-y+1/2,z+1/2'
loop_
_atom_site_label
_atom_site_fract_x
_atom_site_fract_y
_atom_site_fract_z
B1 0.056 0.203 0.380
B2 0.106 0.587 0.278
B3 0.253 0.731 0.270
B4 0.399 0.576 0.248
H1 0.071 0.567 0.397
H2 0.077 0.179 0.514
H3 0.092 0.071 0.343
H4 0.137 0.705 0.644
H5 0.207 0.012 0.741
H6 0.219 0.235 0.862
H7 0.308 0.700 0.884
H8 0.395 0.546 0.118
H9 0.427 0.042 0.139
H10 0.436 0.712 0.229
# Crystal system: monoclinic
# Raw total energy: -4.380 eV/atom
# Offset from the most stable computed form: 0.0 meV/atom


(8)
# BH PBE relaxed
data_BH
_chemical_formula_sum 'B2 H2'
_space_group_name_H-M_alt 'A m m 2'
_space_group_IT_number 38
_cell_length_a 1.800
_cell_length_b 2.813
_cell_length_c 4.098
_cell_angle_alpha 90.00
_cell_angle_beta 90.00
_cell_angle_gamma 90.00
loop_
_space_group_symop_operation_xyz
'x,y,z'
'-x,-y,z'
'-x,y,z'
'x,-y,z'
'x,y+1/2,z+1/2'
'-x,-y+1/2,z+1/2'
'-x,y+1/2,z+1/2'
'x,-y+1/2,z+1/2'
loop_
_atom_site_label
_atom_site_fract_x
_atom_site_fract_y
_atom_site_fract_z
B1 0.000 0.000 0.000
H1 0.000 0.000 0.367
# Crystal system: orthorhombic
# Raw total energy: -4.192 eV/atom
# Offset from the most stable computed form: 865.0 meV/atom


(9)
# BH2 PBE relaxed
data_BH2
_chemical_formula_sum 'B1 H2'
_space_group_name_H-M_alt 'P 1'
_space_group_IT_number 1
_cell_length_a 1.810
_cell_length_b 2.722
_cell_length_c 3.913
_cell_angle_alpha 109.30
_cell_angle_beta 99.88
_cell_angle_gamma 90.03
loop_
_space_group_symop_operation_xyz
'x,y,z'
loop_
_atom_site_label
_atom_site_fract_x
_atom_site_fract_y
_atom_site_fract_z
B1 0.000 0.000 0.000
H1 0.606 0.134 0.284
H2 0.962 0.451 0.897
# Crystal system: triclinic
# Raw total energy: -3.945 eV/atom
# Offset from the most stable computed form: 511.5 meV/atom


(10)
# BH PBE relaxed
data_BH
_chemical_formula_sum 'B1 H1'
_space_group_name_H-M_alt 'P 1 m 1'
_space_group_IT_number 6
_cell_length_a 2.048
_cell_length_b 1.823
_cell_length_c 3.722
_cell_angle_alpha 90.00
_cell_angle_beta 104.88
_cell_angle_gamma 90.00
loop_
_space_group_symop_operation_xyz
'x,y,z'
'x,-y,z'
loop_
_atom_site_label
_atom_site_fract_x
_atom_site_fract_y
_atom_site_fract_z
B1 0.000 0.000 0.000
H1 0.618 0.000 0.255
# Crystal system: monoclinic
# Raw total energy: -4.182 eV/atom
# Offset from the most stable computed form: 874.8 meV/atom


(11)
# B6H PBE relaxed
data_B6H
_chemical_formula_sum 'B6 H1'
_space_group_name_H-M_alt 'P m -3 m'
_space_group_IT_number 221
_space_group_name_Hall '-P 4 2 3'
_cell_length_a 4.159
_cell_length_b 4.159
_cell_length_c 4.159
_cell_angle_alpha 90.00
_cell_angle_beta 90.00
_cell_angle_gamma 90.00
loop_
_atom_site_label
_atom_site_fract_x
_atom_site_fract_y
_atom_site_fract_z
B1 0.000 0.000 0.305
H1 0.500 0.500 0.500
# Crystal system: cubic
# Raw total energy: -5.448 eV/atom


(12)
# BH2 PBE relaxed
data_BH2
_chemical_formula_sum 'B1 H2'
_space_group_name_H-M_alt 'P -4 m 2'
_space_group_IT_number 115
_cell_length_a 2.797
_cell_length_b 2.797
_cell_length_c 1.947
_cell_angle_alpha 90.00
_cell_angle_beta 90.00
_cell_angle_gamma 90.00
loop_
_space_group_symop_operation_xyz
'x,y,z'
'y,-x,-z'
'-x,-y,z'
'-y,x,-z'
'-x,y,z'
'-y,-x,-z'
'x,-y,z'
'y,x,-z'
loop_
_atom_site_label
_atom_site_fract_x
_atom_site_fract_y
_atom_site_fract_z
B1 0.000 0.000 0.000
H1 0.000 0.500 0.113
# Crystal system: tetragonal
# Raw total energy: -3.883 eV/atom
# Offset from the most stable computed form: 573.3 meV/atom